[1]
This record from Alexandria describes a relaxed Na2BiI5 crystal. The functional is GGA-PBE.

abc: 6.5107 8.0545 8.2325
angles: 74.28 66.76 66.21
With the nearest neighbours (Å) after each atom.
Space group P1 (No. 1)
Inequivalent atoms, fractional coordinates:
Na1 0.0000 0.0000 0.0000 (multiplicity 1)  6 I 3.15-3.45
Na2 0.4055 0.7780 0.4128 (multiplicity 1)  6 I 3.15-3.44
Bi1 0.1802 0.3892 0.2065 (multiplicity 1)  5 I 2.99-3.11
I1 0.1631 0.1533 0.5694 (multiplicity 1)  1 Bi 3.06, 2 Na 3.15-3.31
I2 0.2899 0.6253 0.8435 (multiplicity 1)  1 Bi 3.06, 2 Na 3.15-3.31
I3 0.4714 0.0354 0.0255 (multiplicity 1)  1 Bi 3.11, 3 Na 3.26-3.29
I4 0.7210 0.3897 0.2058 (multiplicity 1)  1 Bi 2.99
I5 0.9376 0.7430 0.3874 (multiplicity 1)  1 Bi 3.11, 3 Na 3.26-3.29

Results
VASP energy: -0.1906 Ry/atom
E_form (uncorrected): -78.1 kJ per mole of atoms
size of the total moment: 0.000 μB per atom

[2]
This record from Alexandria describes a relaxed Cs2CeAs2O6 crystal. The functional is GGA-PBE.

abc: 10.6899 6.1579 9.2903
angles: 90.00 122.16 90.00
With the nearest neighbours (Å) after each atom.
Space group C2/m (No. 12)
Inequivalent atoms, fractional coordinates:
Cs1 0.2259 0.0000 0.2661 (multiplicity 4)  9 O 3.14-3.45
Ce1 0.0000 0.0000 0.5000 (multiplicity 2)  6 O 2.28
As1 0.0495 0.5000 0.2469 (multiplicity 4)  3 O 1.80-1.81
O1 0.0188 0.2716 0.3464 (multiplicity 8)  1 As 1.81
O2 0.2479 0.5000 0.3498 (multiplicity 4)  1 As 1.80

Results
VASP energy: -0.4595 Ry/atom
E_form (uncorrected): -193.7 kJ per mole of atoms
size of the total moment: 0.000 μB per atom

[3]
This record from Alexandria describes a relaxed AcTb4Pb4 crystal. The functional is GGA-PBE.

abc: 10.2717 10.2717 6.2386
angles: 90.00 90.00 90.00
With the nearest neighbours (Å) after each atom.
Space group P4_2/n (No. 86, origin choice 2)
Inequivalent atoms, fractional coordinates:
Ac1 0.2500 0.2500 0.2500 (multiplicity 2)  4 Pb 3.51
Tb1 0.1059 0.6393 0.1550 (multiplicity 8)  5 Pb 3.11-3.27
Pb1 0.0539 0.6009 0.6687 (multiplicity 8)  5 Tb 3.11-3.27, 1 Pb 3.15

Results
VASP energy: -0.3256 Ry/atom
DOS at the Fermi energy: 19.998 states/eV per cell
size of the total moment: 0.000 μB per atom

[4]
This record from Alexandria describes a relaxed Ba2LaSbO6 crystal. The functional is GGA-PBE.

abc: 6.1898 6.1898 15.0008
angles: 90.00 90.00 120.00
With the nearest neighbours (Å) after each atom.
Space group R-3 (No. 148, hexagonal axes)
Inequivalent atoms, fractional coordinates:
Ba1 0.0000 0.0000 0.2483 (multiplicity 6)  9 O 2.81-3.13
La1 0.0000 0.0000 0.5000 (multiplicity 3)  6 O 2.37
Sb1 0.0000 0.0000 0.0000 (multiplicity 3)  6 O 2.03
O1 0.0287 0.5607 0.7444 (multiplicity 18)  1 Sb 2.03

Results
VASP energy: -0.5055 Ry/atom
E_form (uncorrected): -252.1 kJ per mole of atoms
DOS at the Fermi energy: 0.000 states/eV per cell
size of the total moment: 0.000 μB per atom